Record 1
Material: HfRuS2N
Method: DFT, PBE
State: relaxed

Values from the calculation:
The uncorrected formation energy is 449 meV per atom. Its total magnetization is 4.67 μB/f.u. The calculation puts the volume at 100.0 Å³ per cell. For the raw total energy, the calculation gives -33.57 eV per cell. The calculation puts the polymorph energy (0 for the lowest one) at 36.7 kJ/mol of atoms. As for the crystal system: tetragonal.

abc: 4.979 4.979 4.036
angles: 90.00 90.00 90.00
Site moments in Bohr magnetons follow the coordinates.
Atoms (fractional coordinates):
Hf (0.000, 0.000, 0.000)  -0.01
Ru (0.500, 0.500, 0.500)  3.01
N (0.000, 0.000, 0.500)  0.57
S (0.500, 0.000, 0.000)  0.22
S (0.000, 0.500, 0.000)  0.22



Record 2
Material: HfRuS2N
Method: DFT, PBE
State: relaxed

Values from the calculation:
The uncorrected formation energy is 68 meV per atom. Its total magnetization is 0.00 μB/f.u. The calculation puts the volume at 82.4 Å³ per cell. For the raw total energy, the calculation gives -35.47 eV per cell. The calculation puts the polymorph energy (0 for the lowest one) at 0.0 kJ/mol of atoms. As for the crystal system: tetragonal.

abc: 4.762 4.762 3.635
angles: 90.00 90.00 90.00
Atoms (fractional coordinates):
S (0.000, 0.500, 0.000)
S (0.500, 0.000, 0.000)
Hf (0.500, 0.500, 0.500)
Ru (0.000, 0.000, 0.000)
N (0.000, 0.000, 0.500)



Record 3
Material: HfRuSeN2
Method: DFT, PBE
State: relaxed

Values from the calculation:
The uncorrected formation energy is 561 meV per atom. Its total magnetization is 0.00 μB/f.u. The calculation puts the volume at 74.7 Å³ per cell. For the raw total energy, the calculation gives -36.56 eV per cell. The calculation puts the polymorph energy (0 for the lowest one) at 0.0 kJ/mol of atoms. As for the crystal system: tetragonal.

abc: 3.869 3.869 4.989
angles: 90.00 90.00 90.00
Atoms (fractional coordinates):
N (0.000, 0.500, 0.000)
Ru (0.000, 0.000, 0.000)
Hf (0.500, 0.500, 0.500)
Se (0.000, 0.000, 0.500)
N (0.500, 0.000, 0.000)



Record 4
Material: Hf2RuSeN
Method: DFT, PBE
State: relaxed

Values from the calculation:
The uncorrected formation energy is 809 meV per atom. Its total magnetization is 0.00 μB/f.u. The calculation puts the volume at 92.3 Å³ per cell. For the raw total energy, the calculation gives -36.95 eV per cell. As for the crystal system: tetragonal.

abc: 5.014 3.672 5.014
angles: 90.00 90.00 90.00
Atoms (fractional coordinates):
Se (0.000, 0.000, 0.000)
Hf (0.500, 0.000, 0.000)
N (0.000, 0.500, 0.000)
Hf (0.000, 0.000, 0.500)
Ru (0.500, 0.500, 0.500)



- The highest raw total energy belongs to which entry?
  number 1



Please write out number 1 again, unchanged.
Material: HfRuS2N
Method: DFT, PBE
State: relaxed

Values from the calculation:
The uncorrected formation energy is 449 meV per atom. Its total magnetization is 4.67 μB/f.u. The calculation puts the volume at 100.0 Å³ per cell. For the raw total energy, the calculation gives -33.57 eV per cell. The calculation puts the polymorph energy (0 for the lowest one) at 36.7 kJ/mol of atoms. As for the crystal system: tetragonal.

abc: 4.979 4.979 4.036
angles: 90.00 90.00 90.00
Site moments in Bohr magnetons follow the coordinates.
Atoms (fractional coordinates):
Hf (0.000, 0.000, 0.000)  -0.01
Ru (0.500, 0.500, 0.500)  3.01
N (0.000, 0.000, 0.500)  0.57
S (0.500, 0.000, 0.000)  0.22
S (0.000, 0.500, 0.000)  0.22